Cs2LiAl | GGA-PBE | optimized geometry

Cell lengths 6.676, 6.676, 6.676 Å; angles 60.00, 60.00, 60.00 degrees
Each line ends with the local moment (μB).
Fractional positions:
Li (0.000, 0.000, 0.000)  0.00
Cs (0.250, 0.250, 0.250)  0.04
Cs (0.750, 0.750, 0.750)  0.04
Al (0.500, 0.500, 0.500)  0.15

Computed properties:
Energy of formation from the pure elements, kJ/mol of atoms: 45.4
Space group: Fm-3m (225)

---

Ac3TlAs | GGA-PBE | optimized geometry

Cell lengths 5.967, 5.967, 5.967 Å; angles 90.00, 90.00, 90.00 degrees
Fractional positions:
Ac (0.500, 0.000, 0.000)
Ac (0.000, 0.500, 0.000)
Ac (0.000, 0.000, 0.500)
As (0.000, 0.000, 0.000)
Tl (0.500, 0.500, 0.500)

Computed properties:
Energy of formation from the pure elements, kJ/mol of atoms: -43.3
Space group: Pm-3m (221)

---

SmZn3I9 | GGA-PBE | optimized geometry

Cell lengths 10.197, 11.394, 12.454 Å; angles 75.31, 65.83, 63.42 degrees
Fractional positions:
Zn (0.967, 0.046, 0.170)
Zn (0.442, 0.746, 0.214)
Zn (0.991, 0.955, 0.834)
Zn (0.817, 0.546, 0.670)
Zn (0.598, 0.246, 0.714)
Zn (0.220, 0.455, 0.334)
I (0.480, 0.498, 0.229)
I (0.158, 0.697, 0.832)
I (0.084, 0.568, 0.535)
I (0.757, 0.396, 0.582)
I (0.312, 0.197, 0.332)
I (0.577, 0.777, 0.700)
I (0.173, 0.086, 0.719)
I (0.713, 0.752, 0.058)
I (0.947, 0.277, 0.200)
I (0.396, 0.806, 0.423)
I (0.855, 0.433, 0.878)
I (0.793, 0.998, 0.729)
I (0.266, 0.896, 0.082)
I (0.022, 0.586, 0.219)
I (0.834, 0.933, 0.378)
I (0.476, 0.252, 0.558)
I (0.375, 0.306, 0.923)
I (0.812, 0.068, 0.035)
Sm (0.480, 0.997, 0.505)
Sm (0.018, 0.497, 0.005)

Computed properties:
Space group: Cc (9)

---

LiCa6Ag2 | GGA-PBE | optimized geometry

Cell lengths 9.194, 9.194, 9.194 Å; angles 102.61, 112.65, 113.37 degrees
Fractional positions:
Ca (0.308, 0.641, 0.333)
Ca (0.803, 0.244, 0.047)
Ca (0.197, 0.244, 0.440)
Ca (0.308, 0.975, 0.667)
Ca (0.471, 0.288, 0.184)
Ca (0.529, 0.712, 0.816)
Ca (0.896, 0.712, 0.184)
Ca (0.197, 0.756, 0.953)
Ca (0.692, 0.025, 0.333)
Ca (0.104, 0.288, 0.816)
Ca (0.692, 0.359, 0.667)
Ca (0.803, 0.756, 0.560)
Ag (0.326, 0.000, 0.326)
Ag (0.500, 0.374, 0.874)
Ag (0.674, 0.000, 0.674)
Ag (0.500, 0.626, 0.126)
Li (0.000, 0.000, 0.000)
Li (0.000, 0.500, 0.500)

Computed properties:
Energy of formation from the pure elements, kJ/mol of atoms: -16.1
Space group: Immm (71)

---

ScSi2Tc | GGA-PBE | optimized geometry

Cell lengths 4.745, 4.745, 4.536 Å; angles 75.08, 75.08, 39.46 degrees
Fractional positions:
Tc (0.484, 0.484, 0.559)
Sc (0.248, 0.248, 0.247)
Si (0.754, 0.754, 0.740)
Si (0.014, 0.014, 0.954)

Computed properties:
Space group: Cm (8)

---

AlInFe2 | GGA-PBE | optimized geometry

Cell lengths 8.691, 8.691, 8.691 Å; angles 18.85, 18.85, 18.85 degrees
Each line ends with the local moment (μB).
Fractional positions:
In (0.250, 0.250, 0.250)  -0.07
Al (0.750, 0.750, 0.750)  -0.05
Fe (0.495, 0.495, 0.495)  2.24
Fe (0.005, 0.005, 0.005)  2.24

Computed properties:
Energy of formation from the pure elements, kJ/mol of atoms: 19.1
Space group: R-3m (166)

---

Sr3AlCd | GGA-PBE | optimized geometry

Cell lengths 6.275, 6.275, 6.275 Å; angles 90.00, 90.00, 90.00 degrees
Fractional positions:
Sr (0.000, 0.000, 0.500)
Sr (0.000, 0.500, 0.000)
Sr (0.500, 0.000, 0.000)
Al (0.000, 0.000, 0.000)
Cd (0.500, 0.500, 0.500)

Computed properties:
Energy of formation from the pure elements, kJ/mol of atoms: 14.1
Space group: Pm-3m (221)

---

ZrSiAs2 | GGA-PBE | optimized geometry

Cell lengths 5.546, 5.546, 5.546 Å; angles 138.72, 138.72, 59.81 degrees
Fractional positions:
Si (0.500, 0.500, 0.000)
As (0.250, 0.750, 0.500)
As (0.000, 0.000, 0.000)
Zr (0.750, 0.250, 0.500)

Computed properties:
Space group: I-4m2 (119)

---

KHoZnTe3 | GGA-PBE | optimized geometry

Cell lengths 4.385, 9.677, 10.502 Å; angles 108.51, 90.00, 90.00 degrees
Fractional positions:
K (0.250, 0.209, 0.239)
K (0.750, 0.791, 0.761)
Te (0.250, 0.787, 0.463)
Te (0.250, 0.104, 0.862)
Te (0.750, 0.461, 0.165)
Te (0.750, 0.896, 0.138)
Te (0.750, 0.213, 0.537)
Te (0.250, 0.539, 0.835)
Zn (0.750, 0.917, 0.395)
Zn (0.250, 0.083, 0.605)
Ho (0.750, 0.328, 0.860)
Ho (0.250, 0.672, 0.140)

Computed properties:
Space group: P2_1/m (11)

---

Sr2InPb3 | GGA-PBE | optimized geometry

Cell lengths 5.625, 3.779, 9.409 Å; angles 90.00, 90.00, 90.00 degrees
Fractional positions:
Pb (0.000, 0.500, 0.165)
Pb (0.500, 0.500, 0.341)
Pb (0.000, 0.500, 0.824)
In (0.500, 0.500, 0.671)
Sr (0.500, 0.000, 0.000)
Sr (0.000, 0.000, 0.499)

Computed properties:
Energy of formation from the pure elements, kJ/mol of atoms: -33.3
Space group: Pmm2 (25)

---

EuSc2Pt | GGA-PBE | optimized geometry

Cell lengths 4.937, 4.937, 4.938 Å; angles 60.00, 60.00, 60.00 degrees
Each line ends with the local moment (μB).
Fractional positions:
Sc (0.250, 0.250, 0.250)  -0.19
Sc (0.750, 0.750, 0.750)  -0.19
Eu (0.500, 0.500, 0.500)  -6.91
Pt (0.000, 0.000, 0.000)  0.03

Computed properties:
Energy of formation from the pure elements, kJ/mol of atoms: -34.4
Space group: Fm-3m (225)

---

SrPW2 | GGA-PBE | optimized geometry

Cell lengths 9.228, 9.228, 9.228 Å; angles 19.33, 19.33, 19.33 degrees
Fractional positions:
W (0.769, 0.769, 0.769)
W (0.231, 0.231, 0.231)
Sr (0.000, 0.000, 0.000)
P (0.500, 0.500, 0.500)

Computed properties:
Energy of formation from the pure elements, kJ/mol of atoms: 69.4
Space group: R-3m (166)

---

Zr2MnBe | GGA-PBE | optimized geometry

Cell lengths 3.142, 3.142, 6.561 Å; angles 90.00, 90.00, 90.04 degrees
Fractional positions:
Zr (0.500, 0.500, 0.310)
Zr (0.000, 0.000, 0.957)
Be (0.000, 0.000, 0.558)
Mn (0.500, 0.500, 0.675)

Computed properties:
Energy of formation from the pure elements, kJ/mol of atoms: 5.9
Space group: P4mm (99)

---

Pm2SnAu4 | GGA-PBE | optimized geometry

Cell lengths 4.580, 4.580, 10.174 Å; angles 76.99, 76.99, 60.00 degrees
Fractional positions:
Pm (0.754, 0.754, 0.738)
Pm (0.246, 0.246, 0.262)
Au (0.858, 0.858, 0.425)
Au (0.370, 0.370, 0.891)
Au (0.142, 0.142, 0.575)
Au (0.630, 0.630, 0.109)
Sn (0.000, 0.000, 0.000)

Computed properties:
Energy of formation from the pure elements, kJ/mol of atoms: -57.7
Space group: R-3m (166)

---

Rb2NaZnHg6 | GGA-PBE | optimized geometry

Cell lengths 8.059, 8.059, 8.059 Å; angles 60.00, 60.00, 90.00 degrees
Fractional positions:
Hg (0.741, 0.259, 0.000)
Hg (0.259, 0.741, 0.000)
Hg (0.259, 0.259, 0.483)
Hg (0.741, 0.741, 0.517)
Hg (0.741, 0.741, 0.000)
Hg (0.259, 0.259, 0.000)
Rb (0.250, 0.750, 0.500)
Rb (0.750, 0.250, 0.500)
Zn (0.500, 0.500, 0.000)
Na (0.000, 0.000, 0.000)

Computed properties:
Energy of formation from the pure elements, kJ/mol of atoms: -10.0
Space group: Fm-3m (225)

---

Li3Ag4Sn | GGA-PBE | optimized geometry

Cell lengths 4.430, 3.774, 8.897 Å; angles 77.54, 104.42, 90.00 degrees
Fractional positions:
Ag (0.634, 0.366, 0.267)
Ag (0.872, 0.128, 0.743)
Ag (0.366, 0.634, 0.733)
Ag (0.128, 0.872, 0.257)
Sn (0.500, 0.000, 0.000)
Li (0.752, 0.749, 0.503)
Li (0.000, 0.500, 0.000)
Li (0.248, 0.251, 0.497)

Computed properties:
Energy of formation from the pure elements, kJ/mol of atoms: -16.3
Space group: C2/m (12)

---

Ac8ZnIr3Br4 | GGA-PBE | optimized geometry

Cell lengths 8.861, 9.688, 8.861 Å; angles 117.22, 120.00, 90.00 degrees
Fractional positions:
Ac (0.717, 0.695, 0.956)
Ac (0.761, 0.305, 0.521)
Ac (0.732, 0.695, 0.464)
Ac (0.239, 0.695, 0.479)
Ac (0.268, 0.305, 0.536)
Ac (0.761, 0.305, 0.044)
Ac (0.283, 0.305, 0.044)
Ac (0.239, 0.695, 0.956)
Ir (0.500, 0.500, 0.500)
Ir (0.500, 0.500, 0.000)
Ir (0.000, 0.500, 0.500)
Br (0.500, 0.000, 0.000)
Br (0.500, 0.000, 0.500)
Br (0.000, 0.000, 0.500)
Br (0.000, 0.000, 0.000)
Zn (0.000, 0.500, 0.000)

Computed properties:
Space group: R-3m (166)

---

AcCuTe2 | GGA-PBE | optimized geometry

Cell lengths 7.403, 7.883, 8.346 Å; angles 90.00, 90.00, 95.89 degrees
Fractional positions:
Cu (0.445, 0.952, 0.655)
Cu (0.555, 0.048, 0.345)
Cu (0.445, 0.452, 0.845)
Cu (0.555, 0.548, 0.155)
Te (0.599, 0.273, 0.610)
Te (0.901, 0.003, 0.282)
Te (0.099, 0.497, 0.782)
Te (0.901, 0.503, 0.218)
Te (0.099, 0.997, 0.718)
Te (0.599, 0.773, 0.890)
Te (0.401, 0.227, 0.110)
Te (0.401, 0.727, 0.390)
Ac (0.809, 0.698, 0.551)
Ac (0.191, 0.802, 0.051)
Ac (0.191, 0.302, 0.449)
Ac (0.809, 0.198, 0.949)

Computed properties:
Space group: P2_1/c (14)

---

CaZrHg | GGA-PBE | optimized geometry

Cell lengths 4.829, 3.408, 13.433 Å; angles 90.00, 90.00, 135.12 degrees
Fractional positions:
Ca (0.694, 0.388, 0.663)
Ca (0.694, 0.388, 0.337)
Hg (0.695, 0.390, 0.000)
Hg (0.194, 0.388, 0.500)
Zr (0.195, 0.390, 0.858)
Zr (0.195, 0.390, 0.142)

Computed properties:
Energy of formation from the pure elements, kJ/mol of atoms: -3.3
Space group: Amm2 (38)

---

MgSb2W | GGA-PBE | optimized geometry

Cell lengths 8.331, 8.331, 8.331 Å; angles 24.97, 24.97, 24.97 degrees
Fractional positions:
Sb (0.992, 0.992, 0.992)
Sb (0.508, 0.508, 0.508)
W (0.250, 0.250, 0.250)
Mg (0.750, 0.750, 0.750)

Computed properties:
Space group: R-3m (166)

---

Energy / eV/atom: -1.371 -4.316 -2.510 -2.348 -7.206 -5.653 -1.795 -6.060 -3.786 -3.216 -7.601 -7.530 -7.437 -4.400 -0.738 -2.813 -5.282 -4.623 -3.651 -5.440